! PBE PrSmGaIr, relaxed; values from VASP
! Density of states at the Fermi level: 3.930 states/eV per cell
! E: -24.0 eV/cell
! E above lowest polymorph: 0.0000 eV per atom
&SYSTEM
  ibrav = 0, nat = 4, ntyp = 4
/
ATOMIC_SPECIES
Pr 140.91 Pr.upf
Sm 150.36 Sm.upf
Ga 69.72 Ga.upf
Ir 192.22 Ir.upf
CELL_PARAMETERS angstrom
4.2687 0.0000 0.0000
0.0000 4.2432 0.0000
-2.1343 0.0000 5.4525
ATOMIC_POSITIONS crystal
Pr 0.1457 0.0000 0.2914
Sm 0.8634 0.5000 0.7268
Ga 0.5654 0.5000 0.1307
Ir 0.4255 0.0000 0.8510

! PBE Sm6Ho3Mg, relaxed; values from VASP
! Density of states at the Fermi level: 28.238 states/eV per cell
! E: -87.0 eV/cell
! E above lowest polymorph: 0.0000 eV per atom
&SYSTEM
  ibrav = 0, nat = 20, ntyp = 3
/
ATOMIC_SPECIES
Sm 150.36 Sm.upf
Ho 164.93 Ho.upf
Mg 24.30 Mg.upf
CELL_PARAMETERS angstrom
-1.7340 2.9290 -3.7347
-6.3244 -8.4878 -3.7204
-8.4327 3.4895 6.6519
ATOMIC_POSITIONS crystal
Sm 0.2500 0.4485 0.1020
Sm 0.7500 0.5515 0.8980
Sm 0.2500 0.1499 0.1976
Sm 0.7500 0.8501 0.8024
Sm 0.2500 0.6527 0.7001
Sm 0.7500 0.3473 0.2999
Sm 0.2500 0.2484 0.4993
Sm 0.7500 0.7516 0.5007
Sm 0.2500 0.8497 0.3050
Sm 0.7500 0.1503 0.6950
Sm 0.2500 0.0488 0.8981
Sm 0.7500 0.9512 0.1019
Ho 0.2500 0.5497 0.4000
Ho 0.7500 0.4503 0.6000
Ho 0.2500 0.3503 0.7966
Ho 0.7500 0.6497 0.2034
Ho 0.2500 0.7511 0.0036
Ho 0.7500 0.2489 0.9964
Mg 0.2500 0.9532 0.5954
Mg 0.7500 0.0468 0.4046

Which formula does entry 2 have?
Sm6Ho3Mg

E of number 1 (PrSmGaIr)?
-24.0 eV/cell

What did the first record say?
! PBE PrSmGaIr, relaxed; values from VASP
! Density of states at the Fermi level: 3.930 states/eV per cell
! E: -24.0 eV/cell
! E above lowest polymorph: 0.0000 eV per atom
&SYSTEM
  ibrav = 0, nat = 4, ntyp = 4
/
ATOMIC_SPECIES
Pr 140.91 Pr.upf
Sm 150.36 Sm.upf
Ga 69.72 Ga.upf
Ir 192.22 Ir.upf
CELL_PARAMETERS angstrom
4.2687 0.0000 0.0000
0.0000 4.2432 0.0000
-2.1343 0.0000 5.4525
ATOMIC_POSITIONS crystal
Pr 0.1457 0.0000 0.2914
Sm 0.8634 0.5000 0.7268
Ga 0.5654 0.5000 0.1307
Ir 0.4255 0.0000 0.8510

What did the second record say?
! PBE Sm6Ho3Mg, relaxed; values from VASP
! Density of states at the Fermi level: 28.238 states/eV per cell
! E: -87.0 eV/cell
! E above lowest polymorph: 0.0000 eV per atom
&SYSTEM
  ibrav = 0, nat = 20, ntyp = 3
/
ATOMIC_SPECIES
Sm 150.36 Sm.upf
Ho 164.93 Ho.upf
Mg 24.30 Mg.upf
CELL_PARAMETERS angstrom
-1.7340 2.9290 -3.7347
-6.3244 -8.4878 -3.7204
-8.4327 3.4895 6.6519
ATOMIC_POSITIONS crystal
Sm 0.2500 0.4485 0.1020
Sm 0.7500 0.5515 0.8980
Sm 0.2500 0.1499 0.1976
Sm 0.7500 0.8501 0.8024
Sm 0.2500 0.6527 0.7001
Sm 0.7500 0.3473 0.2999
Sm 0.2500 0.2484 0.4993
Sm 0.7500 0.7516 0.5007
Sm 0.2500 0.8497 0.3050
Sm 0.7500 0.1503 0.6950
Sm 0.2500 0.0488 0.8981
Sm 0.7500 0.9512 0.1019
Ho 0.2500 0.5497 0.4000
Ho 0.7500 0.4503 0.6000
Ho 0.2500 0.3503 0.7966
Ho 0.7500 0.6497 0.2034
Ho 0.2500 0.7511 0.0036
Ho 0.7500 0.2489 0.9964
Mg 0.2500 0.9532 0.5954
Mg 0.7500 0.0468 0.4046